Entry 1:
First-principles (PBE-GGA) data for Ta2CuPt after structural relaxation, as listed in Alexandria via LeMat-Bulk.

Computed properties:
**Space group**: Pmm2 (25)
**Energy relative to the elements**: -27.64 kJ/mol of atoms

Cell and atoms, written as POSCAR:
```
Ta2CuPt
1.0
3.148 0.000 0.000
0.000 3.463 0.000
0.000 0.000 5.931
Ta Cu Pt
2 1 1
direct
0.000 0.000 0.000
0.500 0.500 0.292
0.000 0.000 0.520
0.500 0.500 0.757
```

***

Entry 2:
First-principles (PBE-GGA) data for TaCuPt2 after structural relaxation, as listed in Alexandria via LeMat-Bulk.

Computed properties:
**Space group**: P4/mmm (123)
**Energy relative to the elements**: -47.83 kJ/mol of atoms

Cell and atoms, written as POSCAR:
```
TaCuPt2
1.0
2.873 0.000 0.000
0.000 2.873 0.000
0.000 0.000 7.387
Ta Cu Pt
1 1 2
direct
0.000 0.000 0.000
0.000 0.000 0.500
0.500 0.500 0.261
0.500 0.500 0.739
```

***

Entry 3:
First-principles (PBE-GGA) data for TaCuPt3 after structural relaxation, as listed in Alexandria via LeMat-Bulk.

Computed properties:
**Space group**: C2/c (15)
**Excess energy over the best structure of this formula in the dataset**: 0.00 eV/f.u.
**Energy relative to the elements**: -50.81 kJ/mol of atoms

Cell and atoms, written as POSCAR:
```
TaCuPt3
1.0
2.388 -7.108 0.000
2.388 7.108 0.000
-1.463 0.000 4.526
Ta Cu Pt
2 2 6
direct
0.147 0.853 0.750
0.853 0.147 0.250
0.352 0.648 0.750
0.648 0.352 0.250
0.054 0.946 0.250
0.250 0.750 0.250
0.444 0.556 0.250
0.556 0.444 0.750
0.750 0.250 0.750
0.946 0.054 0.750
```

***

Entry 4:
First-principles (PBE-GGA) data for TaTiCuPt after structural relaxation, as listed in Alexandria via LeMat-Bulk.

Computed properties:
**Space group**: P4mm (99)
**Energy relative to the elements**: -39.13 kJ/mol of atoms

Cell and atoms, written as POSCAR:
```
TaTiCuPt
1.0
3.209 0.000 0.000
0.000 3.209 0.000
0.000 0.000 6.059
Ta Ti Cu Pt
1 1 1 1
direct
0.000 0.000 0.000
0.500 0.500 0.708
0.500 0.500 0.236
0.000 0.000 0.478
```

***

Entry 5:
First-principles (PBE-GGA) data for Tb2Cu9Pt after structural relaxation, as listed in Alexandria via LeMat-Bulk.

Computed properties:
**Space group**: R-3m (166)
**Energy relative to the elements**: -10.55 kJ/mol of atoms

Cell and atoms, written as POSCAR:
```
Tb2Cu9Pt
1.0
2.553 1.474 7.996
-2.553 1.474 7.996
0.000 -2.948 7.996
Tb Cu Pt
2 9 1
direct
0.131 0.131 0.131
0.869 0.869 0.869
0.077 0.583 0.583
0.334 0.334 0.334
0.417 0.417 0.923
0.417 0.923 0.417
0.500 0.500 0.500
0.583 0.077 0.583
0.583 0.583 0.077
0.666 0.666 0.666
0.923 0.417 0.417
0.000 0.000 0.000
```

***

Entry 6:
First-principles (PBE-GGA) data for Tb2CuPt after structural relaxation, as listed in Alexandria via LeMat-Bulk.

Computed properties:
**Space group**: P4/mmm (123)
**Energy relative to the elements**: -71.35 kJ/mol of atoms

Cell and atoms, written as POSCAR:
```
Tb2CuPt
1.0
4.949 0.000 0.000
0.000 4.949 0.000
0.000 0.000 3.495
Tb Cu Pt
2 1 1
direct
0.000 0.500 0.000
0.500 0.000 0.000
0.000 0.000 0.500
0.500 0.500 0.500
```

***

Entry 7:
First-principles (PBE-GGA) data for Tb4Cu2Pt after structural relaxation, as listed in Alexandria via LeMat-Bulk.

Computed properties:
**Space group**: P1 (1)
**Excess energy over the best structure of this formula in the dataset**: 0.00 eV/f.u.
**Energy relative to the elements**: -43.93 kJ/mol of atoms

Cell and atoms, written as POSCAR:
```
Tb4Cu2Pt
1.0
6.980 0.000 0.000
-2.166 7.214 0.000
-2.199 -2.858 6.727
Tb Cu Pt
8 4 2
direct
0.000 0.000 0.000
0.002 0.077 0.573
0.141 0.477 0.351
0.425 0.993 0.401
0.503 0.710 0.980
0.531 0.164 0.903
0.657 0.508 0.373
0.934 0.512 0.842
0.160 0.785 0.671
0.455 0.390 0.635
0.577 0.792 0.655
0.950 0.740 0.230
0.252 0.365 0.010
0.753 0.140 0.258
```

***

Entry 8:
First-principles (PBE-GGA) data for Tb3CuPt after structural relaxation, as listed in Alexandria via LeMat-Bulk.

Computed properties:
**Space group**: P2_1/m (11)
**Energy relative to the elements**: -50.73 kJ/mol of atoms

Cell and atoms, written as POSCAR:
```
Tb3CuPt
1.0
3.806 0.000 0.000
0.000 7.087 0.000
-0.014 0.000 9.474
Tb Cu Pt
6 2 2
direct
0.249 0.009 0.184
0.249 0.491 0.184
0.250 0.250 0.551
0.750 0.750 0.449
0.751 0.509 0.816
0.751 0.991 0.816
0.251 0.250 0.930
0.749 0.750 0.070
0.250 0.750 0.666
0.750 0.250 0.334
```

***

Entry 9:
First-principles (PBE-GGA) data for Tb4Cu2Pt after structural relaxation, as listed in Alexandria via LeMat-Bulk.

Computed properties:
**Space group**: R-3m (166)
**Excess energy over the best structure of this formula in the dataset**: 0.30 eV/f.u.
**Energy relative to the elements**: -39.81 kJ/mol of atoms

Cell and atoms, written as POSCAR:
```
Tb4Cu2Pt
1.0
2.453 1.416 8.041
-2.453 1.416 8.041
0.000 -2.833 8.041
Tb Cu Pt
4 2 1
direct
0.124 0.124 0.124
0.375 0.375 0.375
0.625 0.625 0.625
0.876 0.876 0.876
0.253 0.253 0.253
0.747 0.747 0.747
0.500 0.500 0.500
```

***

Entry 10:
First-principles (PBE-GGA) data for Tb7Cu2Pt2 after structural relaxation, as listed in Alexandria via LeMat-Bulk.

Computed properties:
**Space group**: Cmmm (65)
**Energy relative to the elements**: -34.46 kJ/mol of atoms

Cell and atoms, written as POSCAR:
```
Tb7Cu2Pt2
1.0
3.893 -5.390 0.000
3.893 5.390 0.000
0.000 0.000 7.145
Tb Cu Pt
7 2 2
direct
0.000 0.000 0.000
0.000 0.500 0.267
0.000 0.500 0.733
0.500 0.000 0.267
0.500 0.000 0.733
0.500 0.500 0.262
0.500 0.500 0.738
0.178 0.178 0.500
0.822 0.822 0.500
0.287 0.713 0.000
0.713 0.287 0.000
```

***

Entry 11:
First-principles (PBE-GGA) data for TbCu12Pt6 after structural relaxation, as listed in Alexandria via LeMat-Bulk.

Computed properties:
**Space group**: R-3m (166)
**Energy relative to the elements**: 2.01 kJ/mol of atoms

Cell and atoms, written as POSCAR:
```
TbCu12Pt6
1.0
5.449 3.146 2.857
-5.449 3.146 2.857
0.000 -6.292 2.857
Tb Cu Pt
1 12 6
direct
0.000 0.000 0.000
0.107 0.500 0.893
0.107 0.893 0.500
0.112 0.364 0.364
0.364 0.112 0.364
0.364 0.364 0.112
0.500 0.107 0.893
0.500 0.893 0.107
0.636 0.636 0.888
0.636 0.888 0.636
0.888 0.636 0.636
0.893 0.107 0.500
0.893 0.500 0.107
0.293 0.293 0.697
0.293 0.697 0.293
0.303 0.707 0.707
0.697 0.293 0.293
0.707 0.303 0.707
0.707 0.707 0.303
```

***

Entry 12:
First-principles (PBE-GGA) data for Tb2Cu2Pt15 after structural relaxation, as listed in Alexandria via LeMat-Bulk.

Computed properties:
**Space group**: R-3m (166)
**Energy relative to the elements**: -40.22 kJ/mol of atoms

Cell and atoms, written as POSCAR:
```
Tb2Cu2Pt15
1.0
4.606 2.659 4.490
-4.606 2.659 4.490
0.000 -5.319 4.490
Tb Cu Pt
2 2 15
direct
0.160 0.160 0.160
0.840 0.840 0.840
0.404 0.404 0.404
0.596 0.596 0.596
0.000 0.500 0.500
0.157 0.157 0.659
0.157 0.659 0.157
0.186 0.500 0.814
0.186 0.814 0.500
0.341 0.843 0.843
0.500 0.000 0.500
0.500 0.186 0.814
0.500 0.500 0.000
0.500 0.814 0.186
0.659 0.157 0.157
0.814 0.186 0.500
0.814 0.500 0.186
0.843 0.341 0.843
0.843 0.843 0.341
```